Below is an optimized crystal structure of BaAcPmTl, with properties calculated at the PBE level.

Total energy = -3.206 eV per atom
E_form = 0.323 eV/f.u.
Magnetic moment = 0.4 μB/cell

a b c (Å): 8.483 8.483 8.483
angles (deg): 90.00 90.00 90.00
Space group F-43m (No. 216)
Asymmetric unit:
Ba: 0.000 0.000 0.000
Ac: 0.250 0.250 0.750
Pm: 0.000 0.000 0.500
Tl: 0.250 0.250 0.250

---

Below is an optimized crystal structure of KSrMg6, with properties calculated at the PBE level.

Total energy = -1.446 eV per atom
Distance to the lowest polymorph of the same formula = 0 meV per atom
E_form = 0.780 eV/f.u.
Magnetic moment = 0.0 μB/cell

a b c (Å): 5.514 7.284 12.305
angles (deg): 90.00 90.00 90.00
Space group Amm2 (No. 38)
Asymmetric unit:
K: 0.000 0.000 0.000
Sr: 0.500 0.000 0.321
Mg: 0.000 0.000 0.505
Mg: 0.000 0.219 0.738
Mg: 0.500 0.000 0.811
Mg: 0.500 0.215 0.582

---

Below is an optimized crystal structure of CdHg4Bi, with properties calculated at the PBE level.

Total energy = -0.970 eV per atom
Distance to the lowest polymorph of the same formula = 0 meV per atom
E_form = 0.181 eV/f.u.
Magnetic moment = 0.0 μB/cell

a b c (Å): 6.143 6.197 9.208
angles (deg): 78.60 85.31 85.93
Space group P-1 (No. 2)
Asymmetric unit:
Cd: 0.241 0.335 0.117
Hg: 0.211 0.337 0.446
Hg: 0.247 0.274 0.786
Hg: 0.253 0.831 0.166
Hg: 0.285 0.825 0.489
Bi: 0.259 0.760 0.835

---

Below is an optimized crystal structure of Fe2TcNi, with properties calculated at the PBE level.

Total energy = -8.073 eV per atom
E_form = 0.780 eV/f.u.
Magnetic moment = 6.2 μB/cell

a b c (Å): 4.253 4.253 2.772
angles (deg): 90.00 90.00 90.00
Space group P4/mmm (No. 123)
Asymmetric unit:
Fe: 0.000 0.500 0.000
Tc: 0.000 0.000 0.500
Ni: 0.500 0.500 0.500

---

Which of these has the highest magnetic moment? Fe2TcNi

---

What is the total energy in the third record? -0.970 eV per atom